DFT (GGA-PBEsol) results for Zn2AsPt after structural relaxation.

```
Zn2AsPt
1.0
-1.936 1.936 4.025
1.936 -1.936 4.025
1.936 1.936 -4.025
Zn As Pt
2 1 1
Direct
0.000 0.000 0.000
0.750 0.250 0.500
0.500 0.500 0.000
0.250 0.750 0.500
```

## Properties
Final energy (eV per cell): -15.7
DFT formation energy (meV/atom): -107
Size of the total moment (μB per atom): 0.000

=====

DFT (GGA-PBEsol) results for ZnAsPt after structural relaxation.

```
ZnAsPt
1.0
0.000 2.951 2.951
2.951 0.000 2.951
2.951 2.951 0.000
Zn As Pt
1 1 1
Direct
0.000 0.000 0.000
0.750 0.750 0.750
0.250 0.250 0.250
```

## Properties
Final energy (eV per cell): -13.5
E above lowest polymorph (meV/atom): 184.4
DFT formation energy (meV/atom): 67
Size of the total moment (μB per atom): 0.000